{"formula": "Cr2FeMo", "functional": "SCAN", "state": "single point on PBEsol structure", "lattice": [[2.965, 0.000, 0.000], [0.000, 4.047, 0.000], [0.000, 0.000, 4.047]], "species": ["Cr", "Mo", "Fe", "Cr"], "frac_coords": [[0.000, 0.500, 0.000], [0.500, 0.000, 0.000], [0.500, 0.500, 0.500], [0.000, 0.000, 0.500]], "formation_enthalpy_0k_ev_per_atom": 0.135}